No. 1
Below is an optimized crystal structure of CaTa2SF, with properties calculated at the PBE level.

Structure (CIF):
```
data_CaTa2SF
_chemical_formula_sum 'Ca1 Ta2 S1 F1'
_cell_length_a 5.365
_cell_length_b 5.365
_cell_length_c 4.010
_cell_angle_alpha 90.00
_cell_angle_beta 90.00
_cell_angle_gamma 90.00
_space_group_name_H-M_alt 'P 4/m m m'
_space_group_IT_number 123
_space_group_name_Hall '-P 4 2'
loop_
_atom_site_label
_atom_site_fract_x
_atom_site_fract_y
_atom_site_fract_z
Ca1 0.000 0.000 0.000
Ta1 0.000 0.500 0.000
S1 0.500 0.500 0.500
F1 0.000 0.000 0.500
```

Computed properties:
**Uncorrected formation energy**: 1272.4 meV per atom


No. 2
Below is an optimized crystal structure of Rb2HBrCl6, with properties calculated at the PBE level.

Structure (CIF):
```
data_Rb2HBrCl6
_chemical_formula_sum 'Rb4 H2 Br2 Cl12'
_cell_length_a 7.799
_cell_length_b 7.799
_cell_length_c 9.094
_cell_angle_alpha 90.00
_cell_angle_beta 90.00
_cell_angle_gamma 90.00
_space_group_name_H-M_alt 'I 4/m m m'
_space_group_IT_number 139
_space_group_name_Hall '-I 4 2'
loop_
_atom_site_label
_atom_site_fract_x
_atom_site_fract_y
_atom_site_fract_z
Rb1 0.000 0.500 0.250
H1 0.000 0.000 0.000
Br1 0.000 0.000 0.500
Cl1 0.000 0.000 0.168
Cl2 0.218 0.218 0.500
```

Computed properties:
**Electronic total energy**: -2.64 eV per atom


No. 3
Below is an optimized crystal structure of LaYW2, with properties calculated at the PBE level.

Structure (CIF):
```
data_LaYW2
_chemical_formula_sum 'La2 Y2 W4'
_cell_length_a 4.942
_cell_length_b 4.942
_cell_length_c 7.042
_cell_angle_alpha 90.00
_cell_angle_beta 90.00
_cell_angle_gamma 90.00
_space_group_name_H-M_alt 'I -4 m 2'
_space_group_IT_number 119
_space_group_name_Hall 'I -4 -2'
loop_
_atom_site_label
_atom_site_fract_x
_atom_site_fract_y
_atom_site_fract_z
La1 0.000 0.000 0.000
Y1 0.000 0.500 0.250
W1 0.000 0.000 0.500
W2 0.000 0.500 0.750
```

Computed properties:
**Polymorph energy (0 for the lowest one)**: 0.4477 eV per atom
**E_form**: 0.7375 eV per atom


No. 4
Below is an optimized crystal structure of Ce2CoSi4Pt3, with properties calculated at the PBE level.

Structure (CIF):
```
data_Ce2CoSi4Pt3
_chemical_formula_sum 'Ce2 Co1 Si4 Pt3'
_cell_length_a 4.176
_cell_length_b 4.176
_cell_length_c 9.877
_cell_angle_alpha 90.00
_cell_angle_beta 90.00
_cell_angle_gamma 90.00
_space_group_name_H-M_alt 'P -4 m 2'
_space_group_IT_number 115
loop_
_space_group_symop_operation_xyz
'x,y,z'
'y,-x,-z'
'-x,-y,z'
'-y,x,-z'
'-x,y,z'
'-y,-x,-z'
'x,-y,z'
'y,x,-z'
loop_
_atom_site_label
_atom_site_fract_x
_atom_site_fract_y
_atom_site_fract_z
Ce1 0.000 0.500 0.245
Co1 0.500 0.500 0.000
Si1 0.000 0.000 0.500
Si2 0.000 0.500 0.873
Si3 0.500 0.500 0.500
Pt1 0.000 0.000 0.000
Pt2 0.000 0.500 0.626
```

Computed properties:
**Uncorrected formation energy**: -1018.5 meV per atom